[1]
An optimized crystal structure of DyHoEr4. Source: the Alexandria database, functional PBE.

POSCAR file:
```
DyHoEr4
1.0
3.3327 -0.9073 0.0005
-1.8763 6.2493 0.0006
-0.0020 -0.0018 9.5777
Er Ho Dy
4 1 1
Direct
0.9972 0.5013 0.3348
0.9973 0.5013 0.6689
0.4973 0.0013 0.8357
0.4973 0.0013 0.1681
0.4973 0.5013 0.0019
0.9973 0.0013 0.5019
```

The uncorrected energy is -26.97 eV/cell. The symmetry is Pmmm (47). The energy above the lowest structure with this stoichiometry is 0.0 meV per atom.

[2]
An optimized crystal structure of DyHo2Er4. Source: the Alexandria database, functional PBE.

POSCAR file:
```
DyHo2Er4
1.0
3.5386 0.0000 0.0000
-1.7693 3.0629 -0.1027
-0.0002 0.6623 19.7367
Er Ho Dy
4 2 1
Direct
0.3810 0.7620 0.5235
0.0484 0.0968 0.9531
0.3818 0.7635 0.8099
0.0473 0.0945 0.2382
0.7137 0.4274 0.3809
0.7145 0.4289 0.0964
0.7148 0.4297 0.6660
```

The uncorrected energy is -31.98 eV/cell. The symmetry is Cm (8). The energy above the lowest structure with this stoichiometry is 0.0 meV per atom.